(1)
TmAlCoCu | GGA-PBE | relaxed

The structure in POSCAR format:
```
TmAlCoCu
1.0
0.000 3.146 3.146
3.146 0.000 3.146
3.146 3.146 0.000
Tm Al Co Cu
1 1 1 1
Direct
0.000 0.000 0.000
0.500 0.500 0.500
0.250 0.250 0.250
0.750 0.750 0.750
```

Total magnetization (μB/atom): 0.045
E_form (kcal/mol of atoms): -6.64



(2)
YAl4CoCu2 | GGA-PBE | relaxed

The structure in POSCAR format:
```
YAl4CoCu2
1.0
2.060 1.189 8.738
-2.060 1.189 8.738
0.000 -2.378 8.738
Y Al Co Cu
1 4 1 2
Direct
0.000 0.000 0.000
0.135 0.135 0.135
0.407 0.407 0.407
0.593 0.593 0.593
0.865 0.865 0.865
0.500 0.500 0.500
0.234 0.234 0.234
0.766 0.766 0.766
```

Total magnetization (μB/atom): 0.000
E_form (kcal/mol of atoms): -8.42



(3)
YAlCoCu | GGA-PBE | relaxed

The structure in POSCAR format:
```
YAlCoCu
1.0
0.000 3.186 3.186
3.186 0.000 3.186
3.186 3.186 0.000
Y Al Co Cu
1 1 1 1
Direct
0.000 0.000 0.000
0.500 0.500 0.500
0.750 0.750 0.750
0.250 0.250 0.250
```

Total magnetization (μB/atom): 0.099
E_form (kcal/mol of atoms): -5.17



(4)
YAl3CoCu | GGA-PBE | relaxed

The structure in POSCAR format:
```
YAl3CoCu
1.0
3.093 -5.988 0.000
3.093 5.988 0.000
0.000 0.000 5.559
Y Al Co Cu
2 6 2 2
Direct
0.230 0.770 0.750
0.770 0.230 0.250
0.207 0.207 0.000
0.207 0.207 0.500
0.360 0.640 0.250
0.640 0.360 0.750
0.793 0.793 0.000
0.793 0.793 0.500
0.442 0.558 0.750
0.558 0.442 0.250
0.148 0.852 0.250
0.852 0.148 0.750
```

Total magnetization (μB/atom): 0.000
E_form (kcal/mol of atoms): -6.51